No. 1
Material: ErNp2Fe9
Method: DFT, GGA-PBE
State: optimized geometry

Values from the calculation:
crystal system	trigonal
Fermi-level density of states	17.68	states/eV per cell
uncorrected energy	-107.06	eV per cell
total magnetization	10.61	Bohr magnetons per cell

Geometry as extended XYZ:
```
12
Lattice="4.733 0.000 1.409 2.157 4.213 1.409 -0.013 -0.008 8.701" Properties=species:S:1:pos:R:3 pbc="T T T"
Er 0.000 0.000 0.000
Np 5.871 3.590 6.242
Np 1.006 0.615 5.276
Fe 4.582 2.802 10.571
Fe 2.294 1.403 0.947
Fe 3.438 2.102 5.759
Fe 2.887 1.766 3.308
Fe 5.240 1.766 4.008
Fe 3.959 3.859 4.008
Fe 3.989 2.439 8.210
Fe 2.917 0.345 7.510
Fe 1.637 2.439 7.510
```

***

No. 2
Material: Er3NpFe8
Method: DFT, GGA-PBE
State: optimized geometry

Values from the calculation:
crystal system	trigonal
Fermi-level density of states	16.87	states/eV per cell
uncorrected energy	-95.15	eV per cell
total magnetization	10.71	Bohr magnetons per cell

Geometry as extended XYZ:
```
12
Lattice="-3.272 -3.656 1.554 1.350 -4.958 -0.300 2.483 -2.475 7.929" Properties=species:S:1:pos:R:3 pbc="T T T"
Er 1.447 -5.397 7.397
Er -1.909 -8.612 1.286
Er 0.260 -5.547 4.542
Np -0.663 -8.454 4.282
Fe -2.018 -6.062 2.809
Fe 1.532 -7.949 5.807
Fe -0.376 -4.228 2.030
Fe -0.113 -9.788 6.589
Fe 0.711 -2.700 3.667
Fe 0.999 -8.244 8.278
Fe 0.301 -6.715 1.879
Fe -0.792 -7.294 6.740
```

***

No. 3
Material: ErNpFe2
Method: DFT, GGA-PBE
State: optimized geometry

Values from the calculation:
crystal system	orthorhombic
Fermi-level density of states	19.24	states/eV per cell
uncorrected energy	-137.14	eV per cell
total magnetization	1.96	Bohr magnetons per cell

Geometry as extended XYZ:
```
16
Lattice="-0.002 -4.391 0.363 7.152 0.221 2.704 -3.022 0.658 7.941" Properties=species:S:1:pos:R:3 pbc="T T T"
Er 3.137 -2.926 4.725
Er 0.223 -3.181 1.633
Er 0.992 -0.586 6.283
Er 3.905 -0.331 9.375
Np -1.131 -0.817 3.475
Np 5.259 -2.694 7.532
Np 3.471 -0.930 2.133
Np 0.658 -2.582 8.875
Fe 5.206 -3.111 2.495
Fe -1.077 -0.401 8.512
Fe 0.288 -2.930 4.669
Fe 3.840 -0.582 6.339
Fe -0.811 -2.712 7.289
Fe 1.023 -0.836 3.259
Fe 3.105 -2.676 7.748
Fe 4.939 -0.799 3.718
```